DFT (PBE) results for a relaxed structure of SrGa3Hg.

The structure belongs to space group Cmcm (No. 63); the cell edges are 6.3754, 11.4374 and 6.4165 Å and the angles 90.00°, 90.00° and 90.00°. The inequivalent atoms are Sr at (0.0000, 0.2465, 0.2500), Ga at (0.0000, 0.3716, 0.7500), Ga at (0.2385, 0.5000, 0.0000) and Hg at (0.0000, 0.1375, 0.7500).

For the mass density, the calculation gives 7.06 Mg/m³. As for the energy of formation from the pure elements: -0.373 eV/atom.